Entry 1:
Below is a geometry-optimized K2UCoS5 structure, with properties calculated at the PBE-GGA level.

For the formation energy from raw total energies, the calculation gives -1000 meV/atom. The magnetization is 4.265 μB/cell.

The space group is Cmc2_1 (No. 36) and the conventional cell measures 3.947, 18.791 and 13.375 Å, with angles of 90.00, 90.00 and 90.00 degrees. The asymmetric unit holds K at (0.000, 0.118, 0.000), K at (0.000, 0.125, 0.354), U at (0.000, 0.200, 0.686), Co at (0.000, 0.417, 0.078), S at (0.000, 0.063, 0.644), S at (0.000, 0.302, 0.054), S at (0.000, 0.309, 0.315), S at (0.000, 0.330, 0.677) and S at (0.000, 0.488, 0.957).

Entry 2:
Below is a geometry-optimized AcFeGe3 structure, with properties calculated at the PBE-GGA level.

As for the formation energy: -0.559 eV per formula unit. The energy above the most stable polymorph in this dataset is 0.3553 eV/atom. The magnetization is 6.927 μB/cell.

The space group is Cmcm (No. 63) and the conventional cell measures 4.484, 16.650 and 6.276 Å, with angles of 90.00, 90.00 and 90.00 degrees. The asymmetric unit holds Ac at (0.000, 0.105, 0.250), Fe at (0.000, 0.414, 0.250), Ge at (0.000, 0.084, 0.750) and Ge at (0.000, 0.291, 0.039).

Entry 3:
Below is a geometry-optimized CaCoMo2 structure, with properties calculated at the PBE-GGA level.

As for the formation energy: 2.988 eV per formula unit. The energy above the most stable polymorph in this dataset is 0.3227 eV/atom. The magnetization is 1.431 μB/cell.

The space group is R-3m (No. 166, hexagonal axes) and the conventional cell measures 2.8404, 2.8404 and 28.7655 Å, with angles of 90.00, 90.00 and 120.00 degrees. The asymmetric unit holds Ca at (0.0000, 0.0000, 0.0000), Co at (0.0000, 0.0000, 0.5000) and Mo at (0.0000, 0.0000, 0.2375).

Entry 4:
Below is a geometry-optimized CeGdPuHg structure, with properties calculated at the PBE-GGA level.

As for the formation energy: -0.094 eV per formula unit. The magnetization is 2.548 μB/cell.

The space group is F-43m (No. 216) and the conventional cell measures 7.550, 7.550 and 7.550 Å, with angles of 90.00, 90.00 and 90.00 degrees. The asymmetric unit holds Ce at (0.000, 0.000, 0.000), Gd at (0.000, 0.000, 0.500), Pu at (0.250, 0.250, 0.750) and Hg at (0.250, 0.250, 0.250).

Entry 5:
Below is a geometry-optimized SrTl2Au structure, with properties calculated at the PBE-GGA level.

As for the formation energy: -1.239 eV per formula unit. The magnetization is 0.000 μB/cell.

The space group is P4/mmm (No. 123) and the conventional cell measures 4.654, 4.654 and 5.273 Å, with angles of 90.00, 90.00 and 90.00 degrees. The asymmetric unit holds Sr at (0.000, 0.000, 0.000), Tl at (0.000, 0.500, 0.500) and Au at (0.500, 0.500, 0.000).

Entry 6:
Below is a geometry-optimized ZrTa3Br structure, with properties calculated at the PBE-GGA level.

For the formation energy from raw total energies, the calculation gives 2079 meV/atom. The energy above the most stable polymorph in this dataset is 0.9469 eV/atom. The magnetization is 0.000 μB/cell.

The space group is Pm-3m (No. 221) and the conventional cell measures 5.026, 5.026 and 5.026 Å, with angles of 90.00, 90.00 and 90.00 degrees. The asymmetric unit holds Zr at (0.000, 0.000, 0.000), Ta at (0.000, 0.000, 0.500) and Br at (0.500, 0.500, 0.500).

Computed values of theoretical density (unit: g cm⁻³) for the preceding records, in sequence: 3.585 7.098 7.210 11.452 10.082 9.341.
Computed values of raw total energy (unit: Ry/atom) for the preceding records, in sequence: -0.4102 -0.3966 -0.5105 -0.6384 -0.2008 -0.5202.